Here is a relaxed Sr2LaIr crystal from Alexandria. Energies are from PBE.

The calculation puts the energy above the lowest structure with this stoichiometry at 2.73 eV/f.u. The formation energy is 0.3663 eV per atom. The total magnetization comes out at 0.0000 μB per atom.

The space group is C2/m (No. 12) and the conventional cell measures 6.2165, 10.4399 and 3.6810 Å, with angles of 90.00, 90.25 and 90.00 degrees. The asymmetric unit holds Sr at (0.2500, 0.2500, 0.0000), La at (0.0000, 0.0000, 0.5000) and Ir at (0.0000, 0.5000, 0.5000).

---

Here is a relaxed Sr2LaIr2 crystal from Alexandria. Energies are from PBE.

The formation energy is -0.2774 eV per atom. The total magnetization comes out at 0.0000 μB per atom.

The space group is P4/mbm (No. 127) and the conventional cell measures 7.4799, 7.4799 and 4.9111 Å, with angles of 90.00, 90.00 and 90.00 degrees. The asymmetric unit holds Sr at (0.1680, 0.3320, 0.0000), La at (0.0000, 0.0000, 0.5000) and Ir at (0.1201, 0.6201, 0.5000).

---

Here is a relaxed SrLaIr2 crystal from Alexandria. Energies are from PBE.

The calculation puts the energy above the lowest structure with this stoichiometry at 1.76 eV/f.u. The formation energy is -0.0041 eV per atom. The total magnetization comes out at 0.0001 μB per atom.

The space group is P4mm (No. 99) and the conventional cell measures 3.6166, 3.6166 and 8.5025 Å, with angles of 90.00, 90.00 and 90.00 degrees. The asymmetric unit holds Sr at (0.0000, 0.0000, 0.0000), La at (0.5000, 0.5000, 0.5756), Ir at (0.0000, 0.0000, 0.3490) and Ir at (0.5000, 0.5000, 0.2654).

---

Here is a relaxed SrLaIr crystal from Alexandria. Energies are from PBE.

The calculation puts the energy above the lowest structure with this stoichiometry at 0.16 eV/f.u. The formation energy is -0.4196 eV per atom. The total magnetization comes out at 0.0000 μB per atom.

The space group is P3m1 (No. 156) and the conventional cell measures 4.2671, 4.2671 and 6.8561 Å, with angles of 90.00, 90.00 and 120.00 degrees. The asymmetric unit holds Sr at (0.0000, 0.0000, 0.0000), La at (0.3333, 0.6667, 0.4594) and Ir at (0.6667, 0.3333, 0.2647).

---

Here is a relaxed Sr2LaIr crystal from Alexandria. Energies are from PBE.

The calculation puts the energy above the lowest structure with this stoichiometry at 0.35 eV/f.u. The formation energy is -0.2301 eV per atom. The total magnetization comes out at 0.0000 μB per atom.

The space group is Immm (No. 71) and the conventional cell measures 3.7169, 4.5475 and 17.5911 Å, with angles of 90.00, 90.00 and 90.00 degrees. The asymmetric unit holds Sr at (0.0000, 0.0000, 0.1583), La at (0.0000, 0.5000, 0.0000) and Ir at (0.0000, 0.5000, 0.5000).

---

Here is a relaxed SrLaIr2 crystal from Alexandria. Energies are from PBE.

The calculation puts the energy above the lowest structure with this stoichiometry at 2.11 eV/f.u. The formation energy is 0.0840 eV per atom. The total magnetization comes out at 0.2009 μB per atom.

The space group is R-3m (No. 166, hexagonal axes) and the conventional cell measures 3.8884, 3.8884 and 23.9762 Å, with angles of 90.00, 90.00 and 120.00 degrees. The asymmetric unit holds Sr at (0.0000, 0.0000, 0.0000), La at (0.0000, 0.0000, 0.5000) and Ir at (0.0000, 0.0000, 0.2446).

---

Here is a relaxed SrLa3Ir8 crystal from Alexandria. Energies are from PBE.

The formation energy is -0.6137 eV per atom. The total magnetization comes out at 0.0000 μB per atom.

The space group is R3m (No. 160, hexagonal axes) and the conventional cell measures 5.4751, 5.4751 and 26.8083 Å, with angles of 90.00, 90.00 and 120.00 degrees. The asymmetric unit holds Sr at (0.0000, 0.0000, 0.0000), La at (0.0000, 0.0000, 0.1240), La at (0.0000, 0.0000, 0.5008), La at (0.0000, 0.0000, 0.6268), Ir at (0.0000, 0.0000, 0.3129), Ir at (0.0000, 0.0000, 0.8128), Ir at (0.0013, 0.5006, 0.0634) and Ir at (0.1673, 0.3345, 0.8957).

---

Here is a relaxed Sr2LaIr crystal from Alexandria. Energies are from PBE.

The calculation puts the energy above the lowest structure with this stoichiometry at 2.15 eV/f.u. The formation energy is 0.2208 eV per atom. The total magnetization comes out at 0.0002 μB per atom.

The space group is R-3m (No. 166, hexagonal axes) and the conventional cell measures 4.1097, 4.1097 and 31.4500 Å, with angles of 90.00, 90.00 and 120.00 degrees. The asymmetric unit holds Sr at (0.0000, 0.0000, 0.2206), La at (0.0000, 0.0000, 0.0000) and Ir at (0.0000, 0.0000, 0.5000).

---

Here is a relaxed SrLaIr2 crystal from Alexandria. Energies are from PBE.

The calculation puts the energy above the lowest structure with this stoichiometry at 0.79 eV/f.u. The formation energy is -0.2463 eV per atom. The total magnetization comes out at 0.0000 μB per atom.

The space group is P4/mmm (No. 123) and the conventional cell measures 3.6394, 3.6394 and 7.1117 Å, with angles of 90.00, 90.00 and 90.00 degrees. The asymmetric unit holds Sr at (0.0000, 0.0000, 0.0000), La at (0.0000, 0.0000, 0.5000) and Ir at (0.5000, 0.5000, 0.2776).

---

Here is a relaxed Sr2LaIr crystal from Alexandria. Energies are from PBE.

The calculation puts the energy above the lowest structure with this stoichiometry at 2.59 eV/f.u. The formation energy is 0.3309 eV per atom. The total magnetization comes out at 0.0000 μB per atom.

The space group is Fm-3m (No. 225) and the conventional cell measures 7.7364, 7.7364 and 7.7364 Å, with angles of 90.00, 90.00 and 90.00 degrees. The asymmetric unit holds Sr at (0.2500, 0.2500, 0.2500), La at (0.0000, 0.0000, 0.0000) and Ir at (0.0000, 0.0000, 0.5000).

---

Here is a relaxed SrLaIr crystal from Alexandria. Energies are from PBE.

The calculation puts the energy above the lowest structure with this stoichiometry at 0.00 eV/f.u. The formation energy is -0.4745 eV per atom. The total magnetization comes out at 0.0000 μB per atom.

The space group is P2_1/m (No. 11) and the conventional cell measures 5.6751, 4.6255 and 7.7243 Å, with angles of 90.00, 106.49 and 90.00 degrees. The asymmetric unit holds Sr at (0.2460, 0.2500, 0.4334), La at (0.2341, 0.2500, 0.9464) and Ir at (0.3087, 0.7500, 0.1864).

---

Here is a relaxed Sr2LaIr crystal from Alexandria. Energies are from PBE.

The calculation puts the energy above the lowest structure with this stoichiometry at 0.00 eV/f.u. The formation energy is -0.3165 eV per atom. The total magnetization comes out at 0.0000 μB per atom.

The space group is Amm2 (No. 38) and the conventional cell measures 3.9430, 4.2993 and 17.8702 Å, with angles of 90.00, 90.00 and 90.00 degrees. The asymmetric unit holds Sr at (0.0000, 0.0000, 0.0000), Sr at (0.5000, 0.0000, 0.3182), La at (0.5000, 0.0000, 0.6510) and Ir at (0.0000, 0.0000, 0.1745).

---

Here is a relaxed Sr2LaIr crystal from Alexandria. Energies are from PBE.

The calculation puts the energy above the lowest structure with this stoichiometry at 0.46 eV/f.u. The formation energy is -0.2026 eV per atom. The total magnetization comes out at 0.0119 μB per atom.

The space group is Cmmm (No. 65) and the conventional cell measures 5.5326, 13.9995 and 4.4201 Å, with angles of 90.00, 90.00 and 90.00 degrees. The asymmetric unit holds Sr at (0.0000, 0.1446, 0.0000), La at (0.0000, 0.5000, 0.5000) and Ir at (0.0000, 0.0000, 0.5000).

---

Here is a relaxed SrLaIr2 crystal from Alexandria. Energies are from PBE.

The calculation puts the energy above the lowest structure with this stoichiometry at 1.15 eV/f.u. The formation energy is -0.1564 eV per atom. The total magnetization comes out at 0.0000 μB per atom.

The space group is Imm2 (No. 44) and the conventional cell measures 3.2285, 4.9677 and 11.6891 Å, with angles of 90.00, 90.00 and 90.00 degrees. The asymmetric unit holds Sr at (0.0000, 0.0000, 0.0000), La at (0.0000, 0.5000, 0.2030), Ir at (0.0000, 0.0000, 0.4449) and Ir at (0.0000, 0.5000, 0.7661).